1.
# Li4AgAs3

Crystalline Li4AgAs3 at its relaxed geometry (GGA-PBE, Alexandria via LeMat-Bulk).

The structure in extended XYZ format:
```
16
Lattice="23.9936 0.0000 0.0000 0.0000 4.2058 0.0000 -0.0104 0.0000 2.9139" Properties=species:S:1:pos:R:3 pbc="T T T"
Li 2.6398 0.0000 0.2992
Li 5.2612 0.0000 0.7370
Li 6.7253 2.1029 2.1768
Li 9.3466 2.1029 2.6147
Li 14.6366 2.1029 0.2992
Li 17.2580 2.1029 0.7370
Li 18.7221 0.0000 2.1768
Li 21.3434 0.0000 2.6147
Ag -0.0052 0.0000 1.4569
Ag 11.9916 2.1029 1.4569
As 0.0000 2.1029 0.0000
As 4.0421 2.1029 2.0835
As 7.9444 0.0000 0.8303
As 11.9968 0.0000 0.0000
As 16.0389 0.0000 2.0835
As 19.9412 2.1029 0.8303
```

Computed properties:
As for the formation energy: -2.18 eV per formula unit. The value obtained for the calculated density is 4.1 g/cm³. The calculation puts the total magnetic moment at 0.00 μB/f.u. As for the volume: 18.4 Å³ per atom.


2.
# LiAgAs2

Crystalline LiAgAs2 at its relaxed geometry (GGA-PBE, Alexandria via LeMat-Bulk).

The structure in extended XYZ format:
```
4
Lattice="3.6139 0.0000 0.0000 0.0000 3.6139 0.0000 0.0000 0.0000 5.6312" Properties=species:S:1:pos:R:3 pbc="T T T"
Li 0.0000 0.0000 0.0000
Ag 0.0000 0.0000 2.8156
As 1.8070 1.8070 1.1960
As 1.8070 1.8070 4.4352
```

Computed properties:
As for the energy above the lowest structure with this stoichiometry: 83 meV/atom. As for the formation energy: -0.39 eV per formula unit. The value obtained for the calculated density is 6.0 g/cm³. The calculation puts the total magnetic moment at 0.00 μB/f.u. As for the volume: 18.4 Å³ per atom.


3.
# LiAgAs2

Crystalline LiAgAs2 at its relaxed geometry (GGA-PBE, Alexandria via LeMat-Bulk).

The structure in extended XYZ format:
```
16
Lattice="7.5615 0.0000 0.0000 0.0000 7.5615 0.0000 0.0000 0.0000 5.3558" Properties=species:S:1:pos:R:3 pbc="T T T"
Li 0.0000 0.0000 0.0000
Li 0.0000 3.7807 1.3389
Li 3.7807 0.0000 4.0168
Li 3.7807 3.7807 2.6779
Ag 0.0000 0.0000 2.6779
Ag 0.0000 3.7807 4.0168
Ag 3.7807 0.0000 1.3389
Ag 3.7807 3.7807 0.0000
As 1.7130 1.8904 3.3474
As 1.8904 5.4938 4.6863
As 1.8904 5.8484 2.0084
As 2.0677 1.8904 0.6695
As 5.4938 5.6711 0.6695
As 5.6711 1.7130 2.0084
As 5.6711 2.0677 4.6863
As 5.8484 5.6711 3.3474
```

Computed properties:
As for the energy above the lowest structure with this stoichiometry: 207 meV/atom. As for the formation energy: 0.11 eV per formula unit. The value obtained for the calculated density is 5.7 g/cm³. The calculation puts the total magnetic moment at 0.00 μB/f.u. As for the volume: 19.1 Å³ per atom.


4.
# Li2AgAs

Crystalline Li2AgAs at its relaxed geometry (GGA-PBE, Alexandria via LeMat-Bulk).

The structure in extended XYZ format:
```
4
Lattice="2.9377 0.0000 0.0000 0.0000 3.9173 0.0000 -0.0941 0.0000 5.6093" Properties=species:S:1:pos:R:3 pbc="T T T"
Li -0.0134 0.0000 1.5263
Li 2.8571 0.0000 4.0829
Ag 1.4689 1.9586 0.0000
As 1.4218 1.9586 2.8046
```

Computed properties:
As for the formation energy: -1.43 eV per formula unit. The value obtained for the calculated density is 5.1 g/cm³. The calculation puts the total magnetic moment at 0.00 μB/f.u. As for the volume: 16.1 Å³ per atom.